# 1
A relaxed structure of PrTm3Hg4, computed with PBE.

abc: 5.215 5.215 7.600
angles: 90.00 90.00 90.00
Fractional positions:
Pr 0.000 0.000 0.000
Tm 0.000 0.000 0.500
Tm 0.500 0.500 0.000
Tm 0.500 0.500 0.500
Hg 0.000 0.500 0.265
Hg 0.000 0.500 0.735
Hg 0.500 0.000 0.265
Hg 0.500 0.000 0.735

## Properties
**SG**: P4/mmm
**E_form**: -466 meV/atom

# 2
A relaxed structure of KTlAu2, computed with PBE.

abc: 5.739 5.739 5.739
angles: 131.93 131.93 70.33
Fractional positions:
K 0.000 0.000 0.000
Tl 0.250 0.750 0.500
Au 0.500 0.500 0.000
Au 0.750 0.250 0.500

## Properties
**SG**: I-4m2
**E_form**: -50 meV/atom

# 3
A relaxed structure of MnInCl, computed with PBE.

abc: 3.340 3.340 7.468
angles: 90.00 90.00 120.00
Fractional positions:
Mn 0.000 0.000 0.000
In 0.333 0.667 0.702
Cl 0.667 0.333 0.205

## Properties
**SG**: P3m1
**E_form (uncorrected)**: -0.207 eV/atom

# 4
A relaxed structure of Nd3Ho2Sb3, computed with PBE.

abc: 7.278 7.278 15.601
angles: 90.00 90.00 143.90
Fractional positions:
Nd 0.049 0.951 0.617
Nd 0.049 0.951 0.883
Nd 0.349 0.651 0.750
Nd 0.651 0.349 0.250
Nd 0.951 0.049 0.117
Nd 0.951 0.049 0.383
Ho 0.233 0.767 0.092
Ho 0.233 0.767 0.408
Ho 0.767 0.233 0.592
Ho 0.767 0.233 0.908
Sb 0.367 0.633 0.250
Sb 0.396 0.604 0.540
Sb 0.396 0.604 0.960
Sb 0.604 0.396 0.040
Sb 0.604 0.396 0.460
Sb 0.633 0.367 0.750

## Properties
**SG**: Cmcm
**E_form (uncorrected)**: -0.821 eV/atom

# 5
A relaxed structure of NaPrTlGe, computed with PBE.

abc: 5.301 5.301 5.301
angles: 60.00 60.00 60.00
Fractional positions:
Na 0.000 0.000 0.000
Pr 0.500 0.500 0.500
Tl 0.750 0.750 0.750
Ge 0.250 0.250 0.250

## Properties
**SG**: F-43m
**E_form**: -258 meV/atom

# 6
A relaxed structure of Nd2Sn3Rh4Pb, computed with PBE.

abc: 4.525 4.525 10.808
angles: 90.00 90.00 90.00
Fractional positions:
Nd 0.000 0.500 0.246
Nd 0.500 0.000 0.754
Sn 0.000 0.500 0.873
Sn 0.500 0.000 0.127
Sn 0.500 0.500 0.500
Rh 0.000 0.000 0.000
Rh 0.000 0.500 0.636
Rh 0.500 0.000 0.364
Rh 0.500 0.500 0.000
Pb 0.000 0.000 0.500

## Properties
**SG**: P-4m2
**E_form**: -616 meV/atom

# 7
A relaxed structure of LiSc2ZnN, computed with PBE.

abc: 4.353 4.353 4.185
angles: 90.00 90.00 90.00
Fractional positions:
Li 0.000 0.000 0.000
Sc 0.000 0.500 0.500
Sc 0.500 0.000 0.500
Zn 0.500 0.500 0.000
N 0.000 0.000 0.500

## Properties
**SG**: P4/mmm
**E_form (uncorrected)**: -0.751 eV/atom

# 8
A relaxed structure of NaGa4Au4, computed with PBE.

abc: 6.603 6.603 8.588
angles: 90.00 90.00 90.00
Fractional positions:
Na 0.250 0.750 0.250
Na 0.750 0.250 0.750
Ga 0.011 0.250 0.140
Ga 0.250 0.011 0.640
Ga 0.250 0.489 0.640
Ga 0.489 0.250 0.140
Ga 0.511 0.750 0.860
Ga 0.750 0.511 0.360
Ga 0.750 0.989 0.360
Ga 0.989 0.750 0.860
Au 0.032 0.250 0.445
Au 0.250 0.032 0.945
Au 0.250 0.468 0.945
Au 0.468 0.250 0.445
Au 0.532 0.750 0.555
Au 0.750 0.532 0.055
Au 0.750 0.968 0.055
Au 0.968 0.750 0.555

## Properties
**SG**: P4_2/nmc
**E_form**: -254 meV/atom